# Al2ReSb PBE optimized geometry
data_Al2ReSb
_cell_length_a 7.837
_cell_length_b 7.837
_cell_length_c 5.259
_cell_angle_alpha 90.00
_cell_angle_beta 90.00
_cell_angle_gamma 90.00
_symmetry_space_group_name_H-M 'I -4 2 d'
_symmetry_Int_Tables_number 122
_symmetry_space_group_name_Hall 'I -4 2bw'
loop_
_atom_site_label
_atom_site_type_symbol
_atom_site_fract_x
_atom_site_fract_y
_atom_site_fract_z
Al1 Al 0.195 0.750 0.125
Re1 Re 0.000 0.000 0.000
Sb1 Sb 0.000 0.000 0.500
# - Calculated total energy: -5.399 eV/atom
# - Total magnetic moment: 0.3 μB per formula unit
# - Calculated volume: 323.05 Å³ per cell

---

# Tb2Ce3Tl4 PBE optimized geometry
data_Tb2Ce3Tl4
_cell_length_a 5.388
_cell_length_b 5.394
_cell_length_c 10.251
_cell_angle_alpha 88.36
_cell_angle_beta 89.91
_cell_angle_gamma 60.12
_symmetry_space_group_name_H-M 'P -1'
_symmetry_Int_Tables_number 2
loop_
_symmetry_equiv_pos_as_xyz
'x,y,z'
'-x,-y,-z'
loop_
_atom_site_label
_atom_site_type_symbol
_atom_site_fract_x
_atom_site_fract_y
_atom_site_fract_z
Tb1 Tb 0.179 0.143 0.223
Ce1 Ce 0.133 0.233 0.561
Ce2 Ce 0.500 0.500 0.000
Tl1 Tl 0.161 0.178 0.892
Tl2 Tl 0.474 0.552 0.659
# - Total magnetic moment: 3.2 μB per formula unit
# - Formation enthalpy at 0 K: -0.228 eV per atom
# - Calculated volume: 258.20 Å³ per cell

---

# La6ZnSe2I3 PBE optimized geometry
data_La6ZnSe2I3
_cell_length_a 7.524
_cell_length_b 13.028
_cell_length_c 8.296
_cell_angle_alpha 90.00
_cell_angle_beta 107.51
_cell_angle_gamma 90.00
_symmetry_space_group_name_H-M 'C 1 2/m 1'
_symmetry_Int_Tables_number 12
loop_
_symmetry_equiv_pos_as_xyz
'x,y,z'
'-x,-y,-z'
'-x,y,-z'
'x,-y,z'
'x+1/2,y+1/2,z'
'-x+1/2,-y+1/2,-z'
'-x+1/2,y+1/2,-z'
'x+1/2,-y+1/2,z'
loop_
_atom_site_label
_atom_site_type_symbol
_atom_site_fract_x
_atom_site_fract_y
_atom_site_fract_z
La1 La 0.234 0.000 0.206
La2 La 0.237 0.332 0.206
Zn1 Zn 0.000 0.500 0.000
Se1 Se 0.000 0.167 0.000
I1 I 0.000 0.000 0.500
I2 I 0.000 0.334 0.500
# - Calculated total energy: -4.773 eV/atom
# - Total magnetic moment: 0.0 μB per formula unit
# - Calculated volume: 775.51 Å³ per cell

---

# KFeHgSb2 PBE optimized geometry
data_KFeHgSb2
_cell_length_a 5.000
_cell_length_b 5.000
_cell_length_c 5.285
_cell_angle_alpha 90.00
_cell_angle_beta 90.00
_cell_angle_gamma 90.00
_symmetry_space_group_name_H-M 'P 4/m m m'
_symmetry_Int_Tables_number 123
_symmetry_space_group_name_Hall '-P 4 2'
loop_
_atom_site_label
_atom_site_type_symbol
_atom_site_fract_x
_atom_site_fract_y
_atom_site_fract_z
K1 K 0.000 0.000 0.000
Fe1 Fe 0.500 0.500 0.500
Hg1 Hg 0.500 0.500 0.000
Sb1 Sb 0.000 0.500 0.500
# - Calculated total energy: -3.544 eV/atom
# - Total magnetic moment: 0.0 μB per formula unit
# - Calculated volume: 132.14 Å³ per cell

---

# Y2ZnHPd PBE optimized geometry
data_Y2ZnHPd
_cell_length_a 4.893
_cell_length_b 4.893
_cell_length_c 3.770
_cell_angle_alpha 90.00
_cell_angle_beta 90.00
_cell_angle_gamma 90.00
_symmetry_space_group_name_H-M 'P 4/m m m'
_symmetry_Int_Tables_number 123
_symmetry_space_group_name_Hall '-P 4 2'
loop_
_atom_site_label
_atom_site_type_symbol
_atom_site_fract_x
_atom_site_fract_y
_atom_site_fract_z
Y1 Y 0.000 0.500 0.000
Zn1 Zn 0.000 0.000 0.500
H1 H 0.000 0.000 0.000
Pd1 Pd 0.500 0.500 0.500
# - Total magnetic moment: 0.0 μB per formula unit
# - Calculated volume: 90.27 Å³ per cell
# - Relative energy among the computed polymorphs: 0.049 eV/atom

---

# TiAsCl2 PBE optimized geometry
data_TiAsCl2
_cell_length_a 7.544
_cell_length_b 7.544
_cell_length_c 9.319
_cell_angle_alpha 90.00
_cell_angle_beta 90.00
_cell_angle_gamma 90.00
_symmetry_space_group_name_H-M 'I -4 2 d'
_symmetry_Int_Tables_number 122
_symmetry_space_group_name_Hall 'I -4 2bw'
loop_
_atom_site_label
_atom_site_type_symbol
_atom_site_fract_x
_atom_site_fract_y
_atom_site_fract_z
Ti1 Ti 0.000 0.000 0.000
As1 As 0.000 0.000 0.500
Cl1 Cl 0.116 0.250 0.125
# - Total magnetic moment: 4.7 μB per formula unit
# - Calculated volume: 530.38 Å³ per cell
# - Relative energy among the computed polymorphs: 0.604 eV/atom

---

# NdSm2Tm PBE optimized geometry
data_NdSm2Tm
_cell_length_a 8.125
_cell_length_b 8.125
_cell_length_c 8.125
_cell_angle_alpha 90.00
_cell_angle_beta 90.00
_cell_angle_gamma 90.00
_symmetry_space_group_name_H-M 'F m -3 m'
_symmetry_Int_Tables_number 225
_symmetry_space_group_name_Hall '-F 4 2 3'
loop_
_atom_site_label
_atom_site_type_symbol
_atom_site_fract_x
_atom_site_fract_y
_atom_site_fract_z
Nd1 Nd 0.000 0.000 0.000
Sm1 Sm 0.250 0.250 0.250
Tm1 Tm 0.000 0.000 0.500
# - Total magnetic moment: 0.0 μB per formula unit
# - Formation enthalpy at 0 K: 0.144 eV per atom
# - Calculated volume: 536.28 Å³ per cell
# - Relative energy among the computed polymorphs: 0.127 eV/atom

---

# Sc3BeSi3 PBE optimized geometry
data_Sc3BeSi3
_cell_length_a 9.817
_cell_length_b 3.907
_cell_length_c 12.854
_cell_angle_alpha 90.00
_cell_angle_beta 109.51
_cell_angle_gamma 90.00
_symmetry_space_group_name_H-M 'C 1 2/m 1'
_symmetry_Int_Tables_number 12
loop_
_symmetry_equiv_pos_as_xyz
'x,y,z'
'-x,-y,-z'
'-x,y,-z'
'x,-y,z'
'x+1/2,y+1/2,z'
'-x+1/2,-y+1/2,-z'
'-x+1/2,y+1/2,-z'
'x+1/2,-y+1/2,z'
loop_
_atom_site_label
_atom_site_type_symbol
_atom_site_fract_x
_atom_site_fract_y
_atom_site_fract_z
Sc1 Sc 0.023 0.000 0.380
Sc2 Sc 0.104 0.000 0.921
Sc3 Sc 0.241 0.000 0.228
Be1 Be 0.235 0.500 0.391
Si1 Si 0.029 0.500 0.232
Si2 Si 0.114 0.500 0.076
Si3 Si 0.141 0.500 0.547
# - Calculated total energy: -6.266 eV/atom
# - Total magnetic moment: 0.0 μB per formula unit
# - Calculated volume: 464.68 Å³ per cell

---

> Number 1 is which compound?

Al2ReSb

---

> What is the formula in the first record?

Al2ReSb